# Sc2MoRu (PBE, relaxed)
# - energy of formation (eV per atom) = -0.0561
# - DOS at the Fermi energy (states/eV/f.u.) = 3.35
# - energy above the lowest structure with this stoichiometry (meV per atom) = 132
data_Sc2MoRu
_chemical_formula_sum 'Sc4 Mo2 Ru2'
_cell_length_a 3.345
_cell_length_b 4.822
_cell_length_c 8.679
_cell_angle_alpha 90.00
_cell_angle_beta 90.00
_cell_angle_gamma 90.00
_symmetry_space_group_name_H-M 'C m m m'
_symmetry_Int_Tables_number 65
_symmetry_space_group_name_Hall '-C 2 2'
loop_
_atom_site_label
_atom_site_fract_x
_atom_site_fract_y
_atom_site_fract_z
Sc1 0.000 0.000 0.232
Mo1 0.000 0.500 0.500
Ru1 0.000 0.500 0.000

=====

# ScMoRu2 (PBE, relaxed)
# - energy of formation (eV per atom) = 0.0785
# - DOS at the Fermi energy (states/eV/f.u.) = 3.23
data_ScMoRu2
_chemical_formula_sum 'Sc1 Mo1 Ru2'
_cell_length_a 2.766
_cell_length_b 2.766
_cell_length_c 8.422
_cell_angle_alpha 90.00
_cell_angle_beta 90.00
_cell_angle_gamma 90.00
_symmetry_space_group_name_H-M 'P 4 m m'
_symmetry_Int_Tables_number 99
loop_
_symmetry_equiv_pos_as_xyz
'x,y,z'
'-y,x,z'
'-x,-y,z'
'y,-x,z'
'-x,y,z'
'y,x,z'
'x,-y,z'
'-y,-x,z'
loop_
_atom_site_label
_atom_site_fract_x
_atom_site_fract_y
_atom_site_fract_z
Sc1 0.000 0.000 0.000
Mo1 0.500 0.500 0.280
Ru1 0.000 0.000 0.537
Ru2 0.500 0.500 0.738

=====

# Sc3MoRu4 (PBE, relaxed)
# - energy of formation (eV per atom) = -0.4299
# - DOS at the Fermi energy (states/eV/f.u.) = 3.95
data_Sc3MoRu4
_chemical_formula_sum 'Sc3 Mo1 Ru4'
_cell_length_a 3.165
_cell_length_b 3.165
_cell_length_c 12.882
_cell_angle_alpha 90.00
_cell_angle_beta 90.00
_cell_angle_gamma 90.00
_symmetry_space_group_name_H-M 'P 4/m m m'
_symmetry_Int_Tables_number 123
_symmetry_space_group_name_Hall '-P 4 2'
loop_
_atom_site_label
_atom_site_fract_x
_atom_site_fract_y
_atom_site_fract_z
Sc1 0.000 0.000 0.000
Sc2 0.000 0.000 0.246
Mo1 0.000 0.000 0.500
Ru1 0.500 0.500 0.128
Ru2 0.500 0.500 0.384

=====

# Sc2MoRu (PBE, relaxed)
# - energy of formation (eV per atom) = 0.1122
# - DOS at the Fermi energy (states/eV/f.u.) = 4.90
# - energy above the lowest structure with this stoichiometry (meV per atom) = 300
data_Sc2MoRu
_chemical_formula_sum 'Sc2 Mo1 Ru1'
_cell_length_a 4.577
_cell_length_b 3.123
_cell_length_c 5.374
_cell_angle_alpha 90.00
_cell_angle_beta 112.80
_cell_angle_gamma 90.00
_symmetry_space_group_name_H-M 'P 1 2/m 1'
_symmetry_Int_Tables_number 10
loop_
_symmetry_equiv_pos_as_xyz
'x,y,z'
'-x,-y,-z'
'-x,y,-z'
'x,-y,z'
loop_
_atom_site_label
_atom_site_fract_x
_atom_site_fract_y
_atom_site_fract_z
Sc1 0.000 0.000 0.000
Sc2 0.000 0.500 0.500
Mo1 0.500 0.000 0.500
Ru1 0.500 0.500 0.000

=====

Look up the DOS at the Fermi energy of the third one.
3.95 states/eV/f.u.

=====

Repeat the second record exactly.
# ScMoRu2 (PBE, relaxed)
# - energy of formation (eV per atom) = 0.0785
# - DOS at the Fermi energy (states/eV/f.u.) = 3.23
data_ScMoRu2
_chemical_formula_sum 'Sc1 Mo1 Ru2'
_cell_length_a 2.766
_cell_length_b 2.766
_cell_length_c 8.422
_cell_angle_alpha 90.00
_cell_angle_beta 90.00
_cell_angle_gamma 90.00
_symmetry_space_group_name_H-M 'P 4 m m'
_symmetry_Int_Tables_number 99
loop_
_symmetry_equiv_pos_as_xyz
'x,y,z'
'-y,x,z'
'-x,-y,z'
'y,-x,z'
'-x,y,z'
'y,x,z'
'x,-y,z'
'-y,-x,z'
loop_
_atom_site_label
_atom_site_fract_x
_atom_site_fract_y
_atom_site_fract_z
Sc1 0.000 0.000 0.000
Mo1 0.500 0.500 0.280
Ru1 0.000 0.000 0.537
Ru2 0.500 0.500 0.738